Arrangement 1

A relaxed structure of Y2TaCu. Source: Alexandria, functional PBE.

Lattice parameters (Å, degrees): 5.8736 5.8736 5.0135 64.67 64.67 35.21
Last column: nearest neighbours and their distance in Å.
Element x y z (fractional)
Cu (0.2500, 0.2500, 0.2500)  4 Y 2.79, 4 Ta 3.07
Ta (0.7500, 0.7500, 0.7500)  4 Cu 3.07, 8 Y 3.30-3.36
Y (0.9645, 0.9645, 0.0356)  2 Cu 2.79
Y (0.5355, 0.5355, 0.4644)  2 Cu 2.79

Results
SG: C2/m, No. 12
crystal system: monoclinic
magnetization: 0.47 μB/f.u.



Arrangement 2

A relaxed structure of Y2TaCu. Source: Alexandria, functional PBE.

Lattice parameters (Å, degrees): 3.2855 3.2876 8.8915 68.34 90.00 90.00
Last column: nearest neighbours and their distance in Å.
Element x y z (fractional)
Cu (0.5000, 0.2500, 0.2500)  8 Y 3.01, 4 Cu 3.29
Ta (0.5000, 0.7500, 0.7500)  8 Y 3.22, 4 Ta 3.29
Y (0.0000, 0.9805, 0.0192)  4 Cu 3.01, 4 Ta 3.22, 4 Y 3.29
Y (0.0000, 0.5195, 0.4808)  4 Cu 3.01, 4 Ta 3.22, 4 Y 3.29

Results
SG: P4/mmm, No. 123
crystal system: tetragonal
magnetization: 0.00 μB/f.u.



Arrangement 3

A relaxed structure of Y2TaCu. Source: Alexandria, functional PBE.

Lattice parameters (Å, degrees): 9.8552 9.8552 9.8552 19.27 19.27 19.27
Last column: nearest neighbours and their distance in Å.
Element x y z (fractional)
Cu (0.2500, 0.2500, 0.2500)  6 Y 2.99, 6 Cu 3.30
Ta (0.7500, 0.7500, 0.7500)  6 Y 3.17, 6 Ta 3.30
Y (0.9960, 0.9960, 0.9960)  3 Cu 2.99, 3 Ta 3.17, 6 Y 3.30
Y (0.5040, 0.5040, 0.5040)  3 Cu 2.99, 3 Ta 3.17, 6 Y 3.30

Results
SG: R-3m, No. 166
crystal system: trigonal
magnetization: 0.00 μB/f.u.



Arrangement 4

A relaxed structure of Y2TaCu. Source: Alexandria, functional PBE.

Lattice parameters (Å, degrees): 5.6926 5.6926 5.6926 135.66 135.66 64.51
Last column: nearest neighbours and their distance in Å.
Element x y z (fractional)
Cu (0.5000, 0.5000, 0.0000)  8 Y 3.04-3.23, 4 Ta 3.23
Ta (0.7500, 0.2500, 0.5000)  8 Y 3.04-3.23, 4 Cu 3.23
Y (0.0000, 0.0000, 0.0000)  4 Cu 3.04, 4 Ta 3.23, 4 Y 3.23
Y (0.2500, 0.7500, 0.5000)  4 Ta 3.04, 4 Cu 3.23, 4 Y 3.23

Results
SG: I-4m2, No. 119
crystal system: tetragonal
magnetization: 0.00 μB/f.u.



Relative calculated energies, zero for the most stable structure, unit meV/atom: arrangement 1 295; arrangement 2 0; arrangement 3 208; arrangement 4 283.



Arrangement 1

A relaxed structure of Y2TaCu. Source: Alexandria, functional PBE.

Lattice parameters (Å, degrees): 4.5789 3.5432 6.0308 72.93 90.00 90.00
Last column: nearest neighbours and their distance in Å.
Element x y z (fractional)
Cu (0.0000, 0.6856, 0.5055)  2 Ta 2.68
Ta (0.5000, 0.5633, 0.7482)  2 Cu 2.68
Y (0.0000, 0.9697, 0.9353)  3 Cu 3.04-3.29, 4 Ta 3.09
Y (0.5000, 0.2815, 0.3110)  3 Ta 3.08-3.24, 4 Cu 3.10-3.11

Results
SG: Amm2, No. 38
crystal system: orthorhombic
magnetization: 0.00 μB/f.u.



Arrangement 2

A relaxed structure of Y2TaCu. Source: Alexandria, functional PBE.

Lattice parameters (Å, degrees): 4.9732 4.9732 4.9732 60.00 60.00 60.00
Last column: nearest neighbours and their distance in Å.
Element x y z (fractional)
Cu (0.5000, 0.5000, 0.5000)  4 Ta 3.05, 4 Y 3.05
Ta (0.7500, 0.7500, 0.7500)  4 Cu 3.05, 4 Y 3.05
Y (0.0000, 0.0000, 0.0000)  4 Y 3.05, 4 Ta 3.05
Y (0.2500, 0.2500, 0.2500)  4 Cu 3.05, 4 Y 3.05

Results
SG: F-43m, No. 216
crystal system: cubic
magnetization: 0.94 μB/f.u.



Arrangement 3

A relaxed structure of Y2TaCu. Source: Alexandria, functional PBE.

Lattice parameters (Å, degrees): 4.2807 4.2807 10.5049 78.24 78.24 90.00
Last column: nearest neighbours and their distance in Å.
Element x y z (fractional)
Y (0.6171, 0.1250, 0.2500)  2 Cu 2.92, 2 Ta 2.95, 4 Y 2.98-3.07
Y (0.1329, 0.6250, 0.2500)  2 Cu 2.92, 2 Ta 2.95, 4 Y 2.98-3.07
Y (0.3750, 0.3829, 0.7500)  2 Cu 2.92, 2 Ta 2.95, 4 Y 2.98-3.07
Y (0.8750, 0.8671, 0.7500)  2 Cu 2.92, 2 Ta 2.95, 4 Y 2.98-3.07
Cu (0.5000, 0.5000, 0.0000)  4 Y 2.92, 4 Ta 3.03
Cu (0.2500, 0.7500, 0.5000)  4 Y 2.92, 4 Ta 3.03
Ta (0.0000, 0.0000, 0.0000)  4 Y 2.95, 4 Cu 3.03
Ta (0.7500, 0.2500, 0.5000)  4 Y 2.95, 4 Cu 3.03

Results
SG: I-42d, No. 122
crystal system: tetragonal
magnetization: 0.00 μB/f.u.



Relative calculated energies, zero for the most stable structure, unit meV/atom: arrangement 1 0; arrangement 2 298; arrangement 3 596.



Arrangement 1

A relaxed structure of Y2TaCu. Source: Alexandria, functional PBE.

Lattice parameters (Å, degrees): 3.3104 3.3104 8.4053 90.00 90.00 90.00
Last column: nearest neighbours and their distance in Å.
Element x y z (fractional)
Cu (0.0000, 0.0000, 0.5424)  4 Ta 2.68
Ta (0.5000, 0.5000, 0.6988)  4 Cu 2.68
Y (0.0000, 0.0000, 0.9511)  4 Ta 3.16, 4 Y 3.31, 1 Cu 3.44
Y (0.5000, 0.5000, 0.3076)  4 Cu 3.06, 1 Ta 3.29, 4 Y 3.31

Results
SG: P4mm, No. 99
crystal system: tetragonal
magnetization: 0.01 μB/f.u.



Arrangement 2

A relaxed structure of Y2TaCu. Source: Alexandria, functional PBE.

Lattice parameters (Å, degrees): 5.0581 5.0581 5.0581 60.00 60.00 60.00
Last column: nearest neighbours and their distance in Å.
Element x y z (fractional)
Y (0.2500, 0.2500, 0.2500)  4 Ta 3.10, 4 Cu 3.10
Y (0.7500, 0.7500, 0.7500)  4 Ta 3.10, 4 Cu 3.10
Cu (0.0000, 0.0000, 0.0000)  8 Y 3.10
Ta (0.5000, 0.5000, 0.5000)  8 Y 3.10

Results
SG: Fm-3m, No. 225
crystal system: cubic
magnetization: 2.23 μB/f.u.



Relative calculated energies, zero for the most stable structure, unit meV/atom: arrangement 1 0; arrangement 2 214.



Arrangement 1

A relaxed structure of Y3TaCu. Source: Alexandria, functional PBE.

Lattice parameters (Å, degrees): 5.2123 5.2123 5.2123 90.00 90.00 90.00
Last column: nearest neighbours and their distance in Å.
Element x y z (fractional)
Y (0.0000, 0.5000, 0.0000)  2 Cu 2.61
Y (0.0000, 0.0000, 0.5000)  2 Cu 2.61
Y (0.5000, 0.0000, 0.0000)  2 Cu 2.61
Cu (0.0000, 0.0000, 0.0000)  6 Y 2.61
Ta (0.5000, 0.5000, 0.5000)  12 Y 3.69

Results
SG: Pm-3m, No. 221
crystal system: cubic
magnetization: 1.40 μB/f.u.



Arrangement 2

A relaxed structure of Y3TaCu. Source: Alexandria, functional PBE.

Lattice parameters (Å, degrees): 5.4482 5.4482 5.4482 90.00 90.00 90.00
Last column: nearest neighbours and their distance in Å.
Element x y z (fractional)
Y (0.0000, 0.5000, 0.0000)  2 Ta 2.72
Y (0.0000, 0.0000, 0.5000)  2 Ta 2.72
Y (0.5000, 0.0000, 0.0000)  2 Ta 2.72
Cu (0.5000, 0.5000, 0.5000)  12 Y 3.85
Ta (0.0000, 0.0000, 0.0000)  6 Y 2.72

Results
SG: Pm-3m, No. 221
crystal system: cubic
magnetization: 0.00 μB/f.u.



Relative calculated energies, zero for the most stable structure, unit meV/atom: arrangement 1 0; arrangement 2 168.



Arrangement 1

A relaxed structure of YTaCu. Source: Alexandria, functional PBE.

Lattice parameters (Å, degrees): 6.2331 6.2345 3.1970 75.12 75.17 29.72
Last column: nearest neighbours and their distance in Å.
Element x y z (fractional)
Cu (0.9806, 0.9806, 0.0194)  4 Ta 2.68
Ta (0.3564, 0.3564, 0.6436)  4 Cu 2.68
Y (0.6630, 0.6630, 0.3370)  4 Cu 3.10, 4 Ta 3.19, 4 Y 3.20

Results
SG: Fmm2, No. 42
crystal system: orthorhombic
magnetization: 0.00 μB/f.u.



Arrangement 2

A relaxed structure of YTaCu. Source: Alexandria, functional PBE.

Lattice parameters (Å, degrees): 3.2123 3.2123 6.8411 90.00 90.00 120.00
Last column: nearest neighbours and their distance in Å.
Element x y z (fractional)
Cu (0.0000, 0.0000, 0.0229)  3 Ta 2.67
Ta (0.6667, 0.3333, 0.3041)  3 Cu 2.67
Y (0.3333, 0.6667, 0.6730)  3 Cu 3.03, 3 Ta 3.13, 6 Y 3.21

Results
SG: P3m1, No. 156
crystal system: trigonal
magnetization: 0.00 μB/f.u.



Arrangement 3

A relaxed structure of YTaCu. Source: Alexandria, functional PBE.

Lattice parameters (Å, degrees): 4.6853 4.6853 4.6853 60.00 60.00 60.00
Last column: nearest neighbours and their distance in Å.
Element x y z (fractional)
Cu (0.0000, 0.0000, 0.0000)  4 Y 2.87
Ta (0.5000, 0.5000, 0.5000)  4 Y 2.87
Y (0.7500, 0.7500, 0.7500)  4 Cu 2.87, 4 Ta 2.87

Results
SG: F-43m, No. 216
crystal system: cubic
magnetization: 2.10 μB/f.u.



Arrangement 4

A relaxed structure of YTaCu. Source: Alexandria, functional PBE.

Lattice parameters (Å, degrees): 4.5262 4.5262 4.5262 60.00 60.00 60.00
Last column: nearest neighbours and their distance in Å.
Element x y z (fractional)
Cu (0.7500, 0.7500, 0.7500)  4 Ta 2.77, 4 Y 2.77
Ta (0.0000, 0.0000, 0.0000)  4 Cu 2.77
Y (0.5000, 0.5000, 0.5000)  4 Cu 2.77

Results
SG: F-43m, No. 216
crystal system: cubic
magnetization: 0.00 μB/f.u.



Relative calculated energies, zero for the most stable structure, unit meV/atom: arrangement 1 0; arrangement 2 252; arrangement 3 1357; arrangement 4 492.



Arrangement 1

A relaxed structure of TaZn2Cu. Source: Alexandria, functional PBE.

Lattice parameters (Å, degrees): 9.2062 9.2062 9.2062 17.35 17.35 17.35
Last column: nearest neighbours and their distance in Å.
Element x y z (fractional)
Cu (0.2500, 0.2500, 0.2500)  6 Zn 2.63, 6 Cu 2.78
Ta (0.7500, 0.7500, 0.7500)  6 Ta 2.78, 6 Zn 2.93
Zn (0.9931, 0.9931, 0.9931)  3 Cu 2.63, 6 Zn 2.78, 3 Ta 2.93
Zn (0.5069, 0.5069, 0.5069)  3 Cu 2.63, 6 Zn 2.78, 3 Ta 2.93

Results
SG: R-3m, No. 166
crystal system: trigonal
magnetization: 0.00 μB/f.u.



Arrangement 2

A relaxed structure of TaZn2Cu. Source: Alexandria, functional PBE.

Lattice parameters (Å, degrees): 5.4089 5.4089 5.4089 151.08 127.92 60.67
Last column: nearest neighbours and their distance in Å.
Element x y z (fractional)
Cu (0.7500, 0.2500, 0.5000)  4 Zn 2.55, 2 Cu 2.70, 4 Ta 2.73
Ta (0.2500, 0.7500, 0.5000)  2 Ta 2.70, 4 Cu 2.73, 4 Zn 2.85
Zn (0.9812, 0.9812, 0.0000)  2 Cu 2.55, 6 Zn 2.70-2.75, 2 Ta 2.85
Zn (0.5188, 0.5188, 0.0000)  2 Cu 2.55, 6 Zn 2.70-2.75, 2 Ta 2.85

Results
SG: Immm, No. 71
crystal system: orthorhombic
magnetization: 0.00 μB/f.u.



Arrangement 3

A relaxed structure of TaZn2Cu. Source: Alexandria, functional PBE.

Lattice parameters (Å, degrees): 4.5725 4.5725 5.0429 80.84 80.84 35.42
Last column: nearest neighbours and their distance in Å.
Element x y z (fractional)
Cu (0.4961, 0.4961, 0.5053)  3 Ta 2.66-2.71, 5 Zn 2.67-2.77, 2 Cu 2.78
Ta (0.2480, 0.2480, 0.2622)  3 Cu 2.66-2.71, 7 Zn 2.76-2.91, 2 Ta 2.78
Zn (0.0041, 0.0041, 0.9777)  5 Zn 2.63-2.78, 3 Ta 2.76-2.81, 2 Cu 2.77
Zn (0.7518, 0.7518, 0.7549)  5 Zn 2.63-2.78, 3 Cu 2.67-2.74, 4 Ta 2.85-2.91

Results
SG: Cm, No. 8
crystal system: monoclinic
magnetization: 0.00 μB/f.u.



Arrangement 4

A relaxed structure of TaZn2Cu. Source: Alexandria, functional PBE.

Lattice parameters (Å, degrees): 3.9097 3.9077 3.8762 90.00 90.00 90.00
Last column: nearest neighbours and their distance in Å.
Element x y z (fractional)
Cu (0.5000, 0.0000, 0.5000)  8 Zn 2.75, 4 Ta 2.76
Ta (0.0000, 0.5000, 0.5000)  8 Zn 2.75, 4 Cu 2.76
Zn (0.0000, 0.0000, 0.0000)  4 Ta 2.75, 4 Cu 2.75, 4 Zn 2.76
Zn (0.5000, 0.5000, 0.0000)  4 Cu 2.75, 4 Ta 2.75, 4 Zn 2.76

Results
SG: P4/mmm, No. 123
crystal system: tetragonal
magnetization: 0.00 μB/f.u.



Relative calculated energies, zero for the most stable structure, unit meV/atom: arrangement 1 15; arrangement 2 55; arrangement 3 72; arrangement 4 0.



Arrangement 1

A relaxed structure of TaZn2Cu. Source: Alexandria, functional PBE.

Lattice parameters (Å, degrees): 5.4717 5.4717 5.4717 151.87 128.02 60.14
Last column: nearest neighbours and their distance in Å.
Element x y z (fractional)
Cu (0.5101, 0.5101, 0.0000)  6 Zn 2.58-2.75, 2 Cu 2.66, 2 Ta 2.75
Ta (0.2555, 0.7555, 0.5000)  2 Ta 2.66, 6 Zn 2.74-2.84, 2 Cu 2.75
Zn (0.9908, 0.9908, 0.0000)  4 Zn 2.66-2.69, 4 Cu 2.75, 2 Ta 2.84
Zn (0.7436, 0.2436, 0.5000)  2 Cu 2.58, 4 Zn 2.66-2.69, 4 Ta 2.74

Results
SG: Imm2, No. 44
crystal system: orthorhombic
magnetization: 0.00 μB/f.u.



Arrangement 2

A relaxed structure of TaZn2Cu. Source: Alexandria, functional PBE.

Lattice parameters (Å, degrees): 4.1895 2.7113 5.3459 79.43 90.00 90.00
Last column: nearest neighbours and their distance in Å.
Element x y z (fractional)
Cu (0.5000, 0.2500, 0.2500)  4 Zn 2.52, 2 Cu 2.71, 2 Ta 2.77
Ta (0.5000, 0.7500, 0.7500)  2 Ta 2.71, 2 Cu 2.77, 8 Zn 2.79-2.91
Zn (0.0000, 0.1066, 0.0117)  2 Cu 2.52, 4 Zn 2.71-2.80, 2 Ta 2.79
Zn (0.0000, 0.3934, 0.4883)  2 Cu 2.52, 4 Zn 2.71-2.80, 2 Ta 2.79

Results
SG: P2/m, No. 10
crystal system: monoclinic
magnetization: 0.00 μB/f.u.



Arrangement 3

A relaxed structure of TaZn2Cu. Source: Alexandria, functional PBE.

Lattice parameters (Å, degrees): 4.3670 4.3670 4.3670 60.00 60.00 60.00
Last column: nearest neighbours and their distance in Å.
Element x y z (fractional)
Zn (0.2500, 0.2500, 0.2500)  4 Ta 2.67, 4 Cu 2.67
Zn (0.7500, 0.7500, 0.7500)  4 Ta 2.67, 4 Cu 2.67
Cu (0.0000, 0.0000, 0.0000)  8 Zn 2.67
Ta (0.5000, 0.5000, 0.5000)  8 Zn 2.67

Results
SG: Fm-3m, No. 225
crystal system: cubic
magnetization: 0.00 μB/f.u.



Arrangement 4

A relaxed structure of TaZn2Cu. Source: Alexandria, functional PBE.

Lattice parameters (Å, degrees): 4.3593 4.3593 4.3593 119.85 119.85 90.25
Last column: nearest neighbours and their distance in Å.
Element x y z (fractional)
Cu (0.5000, 0.5000, 0.0000)  4 Ta 2.67, 4 Zn 2.67
Ta (0.7500, 0.2500, 0.5000)  4 Cu 2.67, 4 Zn 2.67
Zn (0.0000, 0.0000, 0.0000)  4 Ta 2.67, 4 Zn 2.67
Zn (0.2500, 0.7500, 0.5000)  4 Cu 2.67, 4 Zn 2.67

Results
SG: I-4m2, No. 119
crystal system: tetragonal
magnetization: 0.00 μB/f.u.



Relative calculated energies, zero for the most stable structure, unit meV/atom: arrangement 1 71; arrangement 2 0; arrangement 3 136; arrangement 4 95.



Arrangement 1

A relaxed structure of TaZn2Cu. Source: Alexandria, functional PBE.

Lattice parameters (Å, degrees): 2.8048 2.8048 9.0753 81.11 81.11 60.00
Last column: nearest neighbours and their distance in Å.
Element x y z (fractional)
Ta (0.5003, 0.5003, 0.4991)  6 Ta 2.80, 6 Zn 2.89-2.91
Zn (0.0767, 0.0767, 0.7698)  3 Cu 2.62, 6 Zn 2.80, 3 Ta 2.91
Zn (0.2564, 0.2564, 0.2308)  3 Cu 2.62, 6 Zn 2.80, 3 Ta 2.89
Cu (0.6666, 0.6666, 0.0003)  6 Zn 2.62, 6 Cu 2.80

Results
SG: R3m, No. 160
crystal system: trigonal
magnetization: 0.00 μB/f.u.



Arrangement 2

A relaxed structure of TaZn2Cu. Source: Alexandria, functional PBE.

Lattice parameters (Å, degrees): 6.2081 5.0207 2.6057 90.08 65.04 120.58
Last column: nearest neighbours and their distance in Å.
Element x y z (fractional)
Cu (0.0000, 0.5000, 0.5000)  2 Cu 2.61, 2 Ta 2.81, 8 Zn 2.83
Ta (0.5000, 0.5000, 0.0000)  2 Ta 2.61, 2 Cu 2.81, 8 Zn 2.83
Zn (0.0000, 0.0000, 0.0000)  4 Zn 2.61-2.81, 4 Cu 2.83, 4 Ta 2.83
Zn (0.5000, 0.0000, 0.5000)  4 Zn 2.61-2.81, 4 Ta 2.83, 4 Cu 2.83

Results
SG: Cmmm, No. 65
crystal system: orthorhombic
magnetization: 0.00 μB/f.u.



Relative calculated energies, zero for the most stable structure, unit meV/atom: arrangement 1 0; arrangement 2 34.